Entry 1:
Density functional theory data (PBE) for a geometry-optimized La2GaHIr structure.

Structure (POSCAR):
```
La2GaHIr
1.0
5.260 0.000 0.000
0.000 5.260 0.000
0.000 0.000 3.741
H Ga La Ir
1 1 2 1
Cartesian
0.000 0.000 0.000 H
2.630 2.630 1.871 Ga
0.000 2.630 0.000 La
2.630 0.000 0.000 La
0.000 0.000 1.871 Ir
```

Results
**Space group**: P4/mmm, No. 123
**DFT total energy**: -5.55 eV/atom


Entry 2:
Density functional theory data (PBE) for a geometry-optimized MnAg4Sb structure.

Structure (POSCAR):
```
MnAg4Sb
1.0
0.000 3.913 3.913
3.913 0.000 3.913
3.913 3.913 0.000
Ag Mn Sb
4 1 1
Cartesian
2.938 2.938 2.938 Ag
2.938 4.887 4.887 Ag
4.887 2.938 4.887 Ag
4.887 4.887 2.938 Ag
5.869 5.869 5.869 Mn
0.000 0.000 0.000 Sb
```

Results
**Space group**: F-43m, No. 216
**Energy relative to the elements, uncorrected**: 0.2636 eV/atom


Entry 3:
Density functional theory data (PBE) for a geometry-optimized CaTb4Gd structure.

Structure (POSCAR):
```
CaTb4Gd
1.0
6.676 0.000 0.000
3.338 5.782 0.000
3.338 1.927 5.451
Tb Ca Gd
4 1 1
Cartesian
6.676 3.854 0.665 Tb
8.358 4.826 3.412 Tb
6.676 1.912 3.412 Tb
4.994 4.826 3.412 Tb
3.338 1.927 1.363 Ca
0.000 0.000 0.000 Gd
```

Results
**Space group**: F-43m, No. 216
**Energy of formation**: 1.241 eV/f.u.